Li2Mn2FeO6: optimized geometry, GGA+U.

a = 5.0486 Å, b = 5.0486 Å, c = 10.2743 Å
α = 89.99°, β = 90.01°, γ = 117.41°
Last column: magnetic moment on the atom in μB.
Positions (direct):
O (0.3316, 0.0205, 0.9041)  -0.09
O (0.6872, 0.0563, 0.1099)  -0.02
O (0.8315, 0.5206, 0.5959)  -0.09
O (0.9437, 0.3128, 0.8901)  -0.02
O (0.6519, 0.6853, 0.9041)  -0.08
O (0.9795, 0.6683, 0.0959)  -0.09
O (0.1518, 0.1855, 0.5959)  -0.08
O (0.1871, 0.5565, 0.3901)  -0.02
O (0.4793, 0.1685, 0.4041)  -0.09
O (0.4436, 0.8129, 0.6099)  -0.02
O (0.8145, 0.8482, 0.4041)  -0.08
O (0.3147, 0.3480, 0.0959)  -0.08
Li (0.5112, 0.8741, 0.2773)  0.00
Li (0.6261, 0.9886, 0.7773)  0.00
Li (0.1260, 0.4887, 0.7227)  0.00
Li (0.0116, 0.3737, 0.2227)  0.00
Fe (0.9855, 0.0145, 0.0000)  1.19
Fe (0.4854, 0.5147, 0.5000)  1.19
Mn (0.6510, 0.3490, 0.0000)  3.23
Mn (0.1509, 0.8492, 0.5000)  3.23
Mn (0.3180, 0.6820, 0.0000)  3.86
Mn (0.8178, 0.1822, 0.5000)  3.86

Computed properties:
Its spin magnetization is 8.00 μB/f.u. For the total energy, the calculation gives -6.425 eV/atom.